Density functional theory data (PBE) for PmEuZn2 after structural relaxation.

Values from the calculation:
Symmetry: R-3m (166)
Crystal system: trigonal
Calculated formation energy, kJ/mol of formula units: -21.6
Density of states at the Fermi level, states/eV per cell: 7.8

Structure (extended XYZ):
```
4
Lattice="3.819 0.000 0.000 1.910 3.307 0.000 1.910 1.102 9.011" Properties=species:S:1:pos:R:3 pbc="T T T"
Eu 3.819 2.205 4.505
Zn 5.729 3.307 6.836
Zn 1.910 1.102 2.175
Pm 0.000 0.000 0.000
```